Material: Ca2PmCu
Method: DFT, PBE
State: optimized geometry

Computed properties:
Mass density: 4.00 g/cm3
Symmetry: P4/mmm, No. 123
Total moment: 0.00 Bohr magnetons per cell
D(E_F): 5.5 states/eV per cell
Calculated formation energy: 37 meV/atom
Energy: -3.175 eV per atom
Energy above the most stable polymorph in this dataset: 0.050 eV per atom

a = 3.529 Å, b = 3.529 Å, c = 9.625 Å
α = 90.00°, β = 90.00°, γ = 90.00°
Fractional coordinates of all 4 atoms:
1 Ca 0.000 0.000 0.812
2 Ca 0.000 0.000 0.188
3 Cu 0.500 0.500 0.000
4 Pm 0.500 0.500 0.500

Material: CaPm2Cu2
Method: DFT, PBE
State: optimized geometry

Computed properties:
Mass density: 5.59 g/cm3
Symmetry: P2_1/m, No. 11
Total moment: 0.00 Bohr magnetons per cell
D(E_F): 9.2 states/eV per cell
Calculated formation energy: -60 meV/atom
Energy: -3.999 eV per atom
Energy above the most stable polymorph in this dataset: 0.047 eV per atom

a = 4.723 Å, b = 5.170 Å, c = 11.228 Å
α = 97.62°, β = 90.00°, γ = 90.00°
Fractional coordinates of all 10 atoms:
1 Ca 0.250 0.704 0.235
2 Ca 0.750 0.296 0.765
3 Pm 0.250 0.835 0.888
4 Pm 0.750 0.165 0.112
5 Pm 0.250 0.255 0.504
6 Pm 0.750 0.745 0.496
7 Cu 0.250 0.796 0.636
8 Cu 0.750 0.204 0.364
9 Cu 0.250 0.374 0.995
10 Cu 0.750 0.626 0.005

Material: CaPmCu3
Method: DFT, PBE
State: optimized geometry

Computed properties:
Mass density: 5.82 g/cm3
Symmetry: Cmcm, No. 63
Total moment: 0.00 Bohr magnetons per cell
D(E_F): 6.7 states/eV per cell
Calculated formation energy: -139 meV/atom
Energy: -3.947 eV per atom
Energy above the most stable polymorph in this dataset: 0.042 eV per atom

a = 4.193 Å, b = 3.904 Å, c = 13.231 Å
α = 98.48°, β = 90.00°, γ = 90.00°
Fractional coordinates of all 10 atoms:
1 Ca 0.250 0.069 0.139
2 Ca 0.750 0.931 0.861
3 Pm 0.250 0.798 0.595
4 Pm 0.750 0.202 0.405
5 Cu 0.250 0.383 0.767
6 Cu 0.750 0.617 0.233
7 Cu 0.250 0.477 0.953
8 Cu 0.750 0.523 0.047
9 Cu 0.750 0.331 0.661
10 Cu 0.250 0.669 0.339

Material: Ca2PmCu9
Method: DFT, PBE
State: optimized geometry

Computed properties:
Mass density: 6.71 g/cm3
Symmetry: R-3m, No. 166
Total moment: 0.00 Bohr magnetons per cell
D(E_F): 8.6 states/eV per cell
Calculated formation energy: -138 meV/atom
Energy: -3.940 eV per atom

a = 5.209 Å, b = 5.209 Å, c = 8.916 Å
α = 73.02°, β = 73.02°, γ = 60.00°
Fractional coordinates of all 12 atoms:
1 Ca 0.857 0.857 0.428
2 Ca 0.143 0.143 0.572
3 Pm 0.000 0.000 0.000
4 Cu 0.668 0.668 0.995
5 Cu 0.332 0.332 0.005
6 Cu 0.500 0.500 0.500
7 Cu 0.421 0.421 0.243
8 Cu 0.915 0.421 0.243
9 Cu 0.421 0.915 0.243
10 Cu 0.579 0.579 0.757
11 Cu 0.579 0.085 0.757
12 Cu 0.085 0.579 0.757

Material: CaPm2Cu
Method: DFT, PBE
State: optimized geometry

Computed properties:
Mass density: 5.55 g/cm3
Symmetry: Cmcm, No. 63
Total moment: 0.00 Bohr magnetons per cell
D(E_F): 8.5 states/eV per cell
Calculated formation energy: -12 meV/atom
Energy: -3.912 eV per atom
Energy above the most stable polymorph in this dataset: 0.007 eV per atom

a = 4.850 Å, b = 6.387 Å, c = 8.210 Å
α = 90.00°, β = 90.00°, γ = 112.29°
Fractional coordinates of all 8 atoms:
1 Ca 0.949 0.897 0.250
2 Ca 0.051 0.103 0.750
3 Pm 0.351 0.702 0.538
4 Pm 0.649 0.298 0.462
5 Pm 0.351 0.702 0.962
6 Pm 0.649 0.298 0.038
7 Cu 0.786 0.574 0.750
8 Cu 0.214 0.426 0.250

Material: CaPmCu
Method: DFT, PBE
State: optimized geometry

Computed properties:
Mass density: 4.74 g/cm3
Symmetry: F-43m, No. 216
Total moment: 0.00 Bohr magnetons per cell
D(E_F): 4.6 states/eV per cell
Calculated formation energy: 82 meV/atom
Energy: -3.534 eV per atom
Energy above the most stable polymorph in this dataset: 0.133 eV per atom

a = 4.977 Å, b = 4.977 Å, c = 4.977 Å
α = 60.00°, β = 60.00°, γ = 60.00°
Fractional coordinates of all 3 atoms:
1 Ca 0.500 0.500 0.500
2 Cu 0.250 0.250 0.250
3 Pm 0.000 0.000 0.000